Here is a crystal of NaCu2H3O10 relaxed with PBEsol from the Alexandria database. Energies are from meta-GGA SCAN.

**Uncorrected energy**: -113.8 eV/cell

abc: 5.8405 6.0917 6.5557
angles: 112.18 90.00 118.65
Last column: nearest neighbours and their distance in Å.
Sites, in units of the cell vectors:
Na  0.0000  0.0000  0.0000  4 O 2.34
Cu  0.0000  0.5000  0.5000  4 O 1.79-1.98
Cu  0.5000  0.5000  0.5000  4 O 1.79-1.98
H  0.4896  0.9792  0.7581  1 O 0.98
H  0.5104  0.0208  0.2419  1 O 0.98
H  0.5000  0.0000  0.5000  2 O 1.22
O  0.2757  0.5514  0.1608  2 O 1.37
O  0.7243  0.4486  0.8392  2 O 1.37
O  0.4258  0.8515  0.5977  1 H 0.98
O  0.5742  0.1485  0.4023  1 H 0.98
O  0.0154  0.4211  0.1797  1 O 1.37
O  0.9846  0.5789  0.8203  1 O 1.37
O  0.5943  0.5789  0.8203  1 O 1.37
O  0.4057  0.4211  0.1797  1 O 1.37
O  0.1496  0.2991  0.4876  2 Cu 1.79
O  0.8504  0.7009  0.5124  2 Cu 1.79


Here is a crystal of LaTlP2S relaxed with PBEsol from the Alexandria database. Energies are from meta-GGA SCAN.

**Formation energy without anion corrections**: 0.0312 eV/atom

abc: 4.9536 4.9536 5.0584
angles: 90.00 90.00 90.00
Last column: nearest neighbours and their distance in Å.
Sites, in units of the cell vectors:
P  0.0000  0.5000  0.0000  2 Tl 2.48
P  0.5000  0.0000  0.0000  2 Tl 2.48
Tl  0.0000  0.0000  0.0000  4 P 2.48, 2 S 2.53
S  0.0000  0.0000  0.5000  2 Tl 2.53
La  0.5000  0.5000  0.5000  4 S 3.50, 8 P 3.54


Here is a crystal of SrPd3Cl relaxed with PBEsol from the Alexandria database. Energies are from meta-GGA SCAN.

**Formation energy without anion corrections**: 0.9037 eV/atom

abc: 5.0995 5.0995 5.0995
angles: 90.00 90.00 90.00
Last column: nearest neighbours and their distance in Å.
Sites, in units of the cell vectors:
Sr  0.0000  0.0000  0.0000  6 Pd 2.55
Pd  0.0000  0.5000  0.0000  2 Sr 2.55
Pd  0.0000  0.0000  0.5000  2 Sr 2.55
Pd  0.5000  0.0000  0.0000  2 Sr 2.55
Cl  0.5000  0.5000  0.5000  12 Pd 3.61